[1]
DFT (PBE-GGA) results for a relaxed structure of RbThCuO4.

* N(E_F): 7.06 states/eV/cell
* ΔE_f (raw): -1.902 eV per atom

Unit cell a=7.5110 b=7.5110 c=7.5110 alpha=133.65 beta=122.24 gamma=77.07
Positions (direct):
Rb: 0.4337 0.1837 0.2500
Rb: 0.5663 0.8163 0.7500
Th: 0.0000 0.5000 0.5000
Th: 0.5000 0.5000 0.0000
Cu: 0.0000 0.0000 0.5000
Cu: 0.0000 0.5000 0.0000
O: 0.1299 0.7183 0.4116
O: 0.1933 0.2817 0.9116
O: 0.2671 0.2958 0.5287
O: 0.2671 0.7384 0.9713
O: 0.7329 0.2616 0.0287
O: 0.7329 0.7042 0.4713
O: 0.8067 0.7183 0.0884
O: 0.8701 0.2817 0.5884

[2]
DFT (PBE-GGA) results for a relaxed structure of BaAl2HgRh.

* total energy: -18.476 eV for the cell shown
* N(E_F): 3.33 states/eV/cell

Unit cell a=4.8458 b=4.8458 c=6.0365 alpha=90.00 beta=90.00 gamma=90.00
Positions (direct):
Ba: 0.0000 0.0000 0.0000
Al: 0.0000 0.5000 0.5000
Al: 0.5000 0.0000 0.5000
Hg: 0.5000 0.5000 0.0000
Rh: 0.0000 0.0000 0.5000

What is the formula in the first record?
RbThCuO4